No. 1
DFT (PBE) results for a geometry-optimized PuIn2PbO8 structure.

Unit cell a=4.9775 b=4.9773 c=6.8367 alpha=90.00 beta=90.00 gamma=91.94
Site moments in Bohr magnetons follow the coordinates.
Fractional positions:
Pu 0.0000 0.0000 0.0000  2.40
In 0.5000 0.5000 0.7498  0.00
In 0.5000 0.5000 0.2502  0.00
Pb 0.0000 0.0000 0.5000  0.04
O 0.1906 0.8086 0.2296  -0.08
O 0.7004 0.7011 0.0000  -0.07
O 0.8094 0.1914 0.2296  -0.08
O 0.8094 0.1914 0.7704  -0.08
O 0.2997 0.2989 0.0000  -0.07
O 0.1906 0.8086 0.7704  -0.08
O 0.6922 0.6933 0.5000  0.01
O 0.3078 0.3067 0.5000  0.01

Results
DFT total energy ... -6.913 eV per atom
Density of states at the Fermi level ... 0.35 states/eV/atom
Calculated volume ... 169 Å³ per cell

=====

No. 2
DFT (PBE) results for a geometry-optimized Nd3Zn2GaNi9 structure.

Unit cell a=5.2612 b=5.2612 c=11.1699 alpha=90.00 beta=90.00 gamma=120.00
Fractional positions:
Nd 0.3333 0.6667 0.7469
Nd 0.0000 0.0000 0.0000
Nd 0.6667 0.3333 0.2531
Zn 0.3333 0.6667 0.1701
Zn 0.6667 0.3333 0.8299
Ga 0.0000 0.0000 0.5000
Ni 0.8229 0.1771 0.6516
Ni 0.8229 0.6459 0.6516
Ni 0.3541 0.1771 0.6516
Ni 0.6459 0.8229 0.3484
Ni 0.1771 0.3541 0.3484
Ni 0.1771 0.8229 0.3484
Ni 0.5000 0.0000 0.0000
Ni 0.0000 0.5000 0.0000
Ni 0.5000 0.5000 0.0000

Results
Energy of formation from the pure elements ... -0.080 eV per atom
Density of states at the Fermi level ... 0.47 states/eV/atom
Calculated volume ... 268 Å³ per cell